Entry a
Here is UPaAu after structural relaxation from Alexandria via LeMat-Bulk. Energies are from PBE.

* calculated volume: 126.6 Å³/cell

Cell lengths 3.5834, 3.5834, 9.8579 Å; angles 90.00, 90.00, 90.00 degrees
Closest atoms and distances in Å follow each position.
Space group P4/nmm (No. 129, origin choice 2)
One atom of each set of equivalent atoms:
U: 0.2500 0.2500 0.0897 [2 per cell]  5 Pa 2.93-3.24, 4 U 3.09, 1 Au 3.28
Pa: 0.2500 0.2500 0.7609 [2 per cell]  5 U 2.93-3.24, 4 Au 3.11
Au: 0.2500 0.2500 0.4224 [2 per cell]  4 Au 2.96, 4 Pa 3.11, 1 U 3.28

Entry b
Here is UPaAu after structural relaxation from Alexandria via LeMat-Bulk. Energies are from PBE.

* calculated volume: 132.7 Å³/cell

Cell lengths 3.6601, 3.6601, 9.9067 Å; angles 90.00, 90.00, 90.00 degrees
Closest atoms and distances in Å follow each position.
Space group I4mm (No. 107)
One atom of each set of equivalent atoms:
U: 0.0000 0.0000 0.0000 [2 per cell]  4 Pa 2.89, 5 Au 3.11-3.18
Pa: 0.0000 0.0000 0.3710 [2 per cell]  4 U 2.89, 5 Au 3.12-3.17
Au: 0.0000 0.0000 0.6859 [2 per cell]  5 U 3.11-3.18, 5 Pa 3.12-3.17

Entry c
Here is UPaAu after structural relaxation from Alexandria via LeMat-Bulk. Energies are from PBE.

* calculated volume: 61.5 Å³/cell

Cell lengths 4.9750, 4.9750, 2.8672 Å; angles 90.00, 90.00, 120.00 degrees
Closest atoms and distances in Å follow each position.
Space group P-6m2 (No. 187)
One atom of each set of equivalent atoms:
U: 0.0000 0.0000 0.0000 [1 per cell]  2 U 2.87, 3 Pa 2.87, 6 Au 3.21
Pa: 0.3333 0.6667 0.0000 [1 per cell]  2 Pa 2.87, 3 U 2.87, 6 Au 3.21
Au: 0.6667 0.3333 0.5000 [1 per cell]  2 Au 2.87, 6 U 3.21, 6 Pa 3.21

Stability check: which of them is least stable? entry b.

Entry a
Here is UPaAu2 after structural relaxation from Alexandria via LeMat-Bulk. Energies are from PBE.

* calculated volume: 92.2 Å³/cell

Cell lengths 3.8958, 3.8958, 6.0725 Å; angles 90.00, 90.00, 90.00 degrees
Closest atoms and distances in Å follow each position.
Space group P4/mmm (No. 123)
One atom of each set of equivalent atoms:
U: 0.0000 0.0000 0.0000 [1 per cell]  2 Pa 3.04, 8 Au 3.14
Pa: 0.0000 0.0000 0.5000 [1 per cell]  2 U 3.04, 8 Au 3.15
Au: 0.5000 0.5000 0.2487 [2 per cell]  2 Au 3.02-3.05, 4 U 3.14, 4 Pa 3.15

Entry b
Here is UPaAu2 after structural relaxation from Alexandria via LeMat-Bulk. Energies are from PBE.

* calculated volume: 258.9 Å³/cell

Cell lengths 3.0848, 3.0848, 31.4143 Å; angles 90.00, 90.00, 120.00 degrees
Closest atoms and distances in Å follow each position.
Space group R-3m (No. 166, hexagonal axes)
One atom of each set of equivalent atoms:
U: 0.0000 0.0000 0.0000 [3 per cell]  6 U 3.08, 6 Au 3.16
Pa: 0.0000 0.0000 0.5000 [3 per cell]  6 Pa 3.08, 6 Au 3.17
Au: 0.0000 0.0000 0.2502 [6 per cell]  6 Au 3.08, 3 U 3.16, 3 Pa 3.17

Stability check: which of them is least stable? entry b.

Entry a
Here is Pa2VAu after structural relaxation from Alexandria via LeMat-Bulk. Energies are from PBE.

* calculated volume: 256.7 Å³/cell

Cell lengths 3.0063, 3.0063, 32.7961 Å; angles 90.00, 90.00, 120.00 degrees
Closest atoms and distances in Å follow each position.
Space group R-3m (No. 166, hexagonal axes)
One atom of each set of equivalent atoms:
Pa: 0.0000 0.0000 0.0921 [6 per cell]  3 V 3.00, 6 Pa 3.01, 1 Au 3.02
V: 0.0000 0.0000 0.5000 [3 per cell]  6 Pa 3.00, 6 V 3.01
Au: 0.0000 0.0000 0.0000 [3 per cell]  6 Au 3.01, 2 Pa 3.02

Entry b
Here is Pa2VAu after structural relaxation from Alexandria via LeMat-Bulk. Energies are from PBE.

* calculated volume: 84.2 Å³/cell

Cell lengths 4.3072, 4.3072, 4.5366 Å; angles 90.00, 90.00, 90.00 degrees
Closest atoms and distances in Å follow each position.
Space group P4/mmm (No. 123)
One atom of each set of equivalent atoms:
Pa: 0.0000 0.5000 0.0000 [2 per cell]  4 Pa 3.05, 4 V 3.13, 4 Au 3.13
V: 0.0000 0.0000 0.5000 [1 per cell]  4 Au 3.05, 8 Pa 3.13
Au: 0.5000 0.5000 0.5000 [1 per cell]  4 V 3.05, 8 Pa 3.13

Stability check: which of them is least stable? entry a.

Entry a
Here is YPaAu2 after structural relaxation from Alexandria via LeMat-Bulk. Energies are from PBE.

* calculated volume: 93.5 Å³/cell

Cell lengths 3.4766, 3.4766, 7.7386 Å; angles 90.00, 90.00, 90.00 degrees
Closest atoms and distances in Å follow each position.
Space group P4/mmm (No. 123)
One atom of each set of equivalent atoms:
Y: 0.0000 0.0000 0.0000 [1 per cell]  8 Au 3.09
Pa: 0.0000 0.0000 0.5000 [1 per cell]  8 Au 3.17, 4 Pa 3.48
Au: 0.5000 0.5000 0.2414 [2 per cell]  4 Y 3.09, 4 Pa 3.17

Entry b
Here is YPaAu2 after structural relaxation from Alexandria via LeMat-Bulk. Energies are from PBE.

* calculated volume: 377.6 Å³/cell

Cell lengths 7.2276, 7.2276, 7.2276 Å; angles 90.00, 90.00, 90.00 degrees
Closest atoms and distances in Å follow each position.
Space group Fm-3m (No. 225)
One atom of each set of equivalent atoms:
Y: 0.0000 0.0000 0.0000 [4 per cell]  8 Au 3.13
Pa: 0.0000 0.0000 0.5000 [4 per cell]  8 Au 3.13
Au: 0.2500 0.2500 0.2500 [8 per cell]  4 Pa 3.13, 4 Y 3.13

Stability check: which of them is least stable? entry b.

Entry a
Here is Pa2Zn2Au3 after structural relaxation from Alexandria via LeMat-Bulk. Energies are from PBE.

* calculated volume: 286.3 Å³/cell

Cell lengths 11.7873, 3.5819, 6.8650 Å; angles 90.00, 99.03, 90.00 degrees
Closest atoms and distances in Å follow each position.
Space group C2/m (No. 12)
One atom of each set of equivalent atoms:
Pa: 0.1539 0.0000 0.3303 [4 per cell]  5 Au 3.05-3.28, 5 Zn 3.10-3.23
Zn: 0.0714 0.5000 0.6485 [4 per cell]  1 Zn 2.43, 3 Au 2.58-2.68
Au: 0.0000 0.5000 0.0000 [2 per cell]  2 Zn 2.68
Au: 0.1870 0.0000 0.8651 [4 per cell]  2 Zn 2.58, 2 Au 2.82

Entry b
Here is Pa2Zn2Au3 after structural relaxation from Alexandria via LeMat-Bulk. Energies are from PBE.

* calculated volume: 588.1 Å³/cell

Cell lengths 4.1321, 19.4577, 7.3146 Å; angles 90.00, 90.00, 90.00 degrees
Closest atoms and distances in Å follow each position.
Space group Cmcm (No. 63)
One atom of each set of equivalent atoms:
Pa: 0.0000 0.0598 0.2500 [4 per cell]  5 Au 3.06-3.27
Pa: 0.0000 0.1553 0.7500 [4 per cell]  6 Au 3.05-3.07, 6 Zn 3.13-3.29
Zn: 0.0000 0.3081 0.5572 [8 per cell]  4 Au 2.60-2.74, 1 Zn 2.82
Au: 0.0000 0.2279 0.2500 [4 per cell]  6 Zn 2.60-2.74
Au: 0.0000 0.4344 0.0583 [8 per cell]  1 Zn 2.60, 2 Au 2.69-2.80

Stability check: which of them is least stable? entry a.

Entry a
Here is Pb5Au after structural relaxation from Alexandria via LeMat-Bulk. Energies are from PBE.

* calculated volume: 730.6 Å³/cell

Cell lengths 7.2447, 7.2447, 13.9204 Å; angles 90.00, 90.00, 90.00 degrees
Closest atoms and distances in Å follow each position.
Space group I4/mcm (No. 140)
One atom of each set of equivalent atoms:
Pb: 0.0000 0.0000 0.0000 [4 per cell]  8 Pb 3.39, 2 Au 3.48
Pb: 0.1605 0.3395 0.1452 [16 per cell]  2 Au 3.09, 4 Pb 3.29-3.45
Au: 0.0000 0.0000 0.2500 [4 per cell]  8 Pb 3.09

Entry b
Here is Pb5Au after structural relaxation from Alexandria via LeMat-Bulk. Energies are from PBE.

* calculated volume: 200.5 Å³/cell

Cell lengths 6.2093, 6.2093, 6.0057 Å; angles 90.00, 90.00, 120.00 degrees
Closest atoms and distances in Å follow each position.
Space group P6/mmm (No. 191)
One atom of each set of equivalent atoms:
Pb: 0.0000 0.5000 0.0000 [3 per cell]  4 Pb 3.10
Pb: 0.3333 0.6667 0.5000 [2 per cell]  9 Pb 3.50-3.58, 3 Au 3.58
Au: 0.0000 0.0000 0.5000 [1 per cell]  6 Pb 3.58

Stability check: which of them is least stable? entry b.

Entry a
Here is Pb5Au after structural relaxation from Alexandria via LeMat-Bulk. Energies are from PBE.

* calculated volume: 351.6 Å³/cell

Cell lengths 13.2014, 3.5127, 7.9177 Å; angles 90.00, 106.74, 90.00 degrees
Closest atoms and distances in Å follow each position.
Space group C2/m (No. 12)
One atom of each set of equivalent atoms:
Pb: 0.0000 0.0000 0.0000 [2 per cell]  10 Pb 3.40-3.51
Pb: 0.1460 0.5000 0.3548 [4 per cell]  2 Au 3.07, 2 Pb 3.40
Pb: 0.1585 0.5000 0.7996 [4 per cell]  2 Au 3.20, 5 Pb 3.45-3.51
Au: 0.0000 0.0000 0.5000 [2 per cell]  8 Pb 3.07-3.20

Entry b
Here is Pb5Au after structural relaxation from Alexandria via LeMat-Bulk. Energies are from PBE.

* calculated volume: 174.2 Å³/cell

Cell lengths 3.5353, 3.5353, 13.9418 Å; angles 90.00, 90.00, 90.00 degrees
Closest atoms and distances in Å follow each position.
Space group P4/mmm (No. 123)
One atom of each set of equivalent atoms:
Pb: 0.0000 0.0000 0.0000 [1 per cell]  12 Pb 3.54-3.55
Pb: 0.0000 0.0000 0.3642 [2 per cell]  4 Au 3.14
Pb: 0.5000 0.5000 0.1811 [2 per cell]  12 Pb 3.54-3.57
Au: 0.5000 0.5000 0.5000 [1 per cell]  8 Pb 3.14

Entry c
Here is Pb5Au after structural relaxation from Alexandria via LeMat-Bulk. Energies are from PBE.

* calculated volume: 347.8 Å³/cell

Cell lengths 4.8407, 14.6782, 4.8945 Å; angles 90.00, 90.00, 90.00 degrees
Closest atoms and distances in Å follow each position.
Space group Cmmm (No. 65)
One atom of each set of equivalent atoms:
Pb: 0.0000 0.0000 0.0000 [2 per cell]  8 Pb 3.37-3.38, 4 Au 3.44
Pb: 0.0000 0.1579 0.5000 [4 per cell]  2 Au 3.35, 10 Pb 3.37-3.63
Pb: 0.0000 0.3392 0.0000 [4 per cell]  10 Pb 3.38-3.61, 2 Au 3.40
Au: 0.0000 0.5000 0.5000 [2 per cell]  12 Pb 3.35-3.44

Entry d
Here is Pb5Au after structural relaxation from Alexandria via LeMat-Bulk. Energies are from PBE.

* calculated volume: 174.1 Å³/cell

Cell lengths 6.0618, 6.0618, 5.4724 Å; angles 90.00, 90.00, 120.00 degrees
Closest atoms and distances in Å follow each position.
Space group P-62m (No. 189)
One atom of each set of equivalent atoms:
Pb: 0.0000 0.6823 0.0000 [3 per cell]  10 Pb 3.34-3.58, 2 Au 3.35
Pb: 0.3333 0.6667 0.5000 [2 per cell]  9 Pb 3.43-3.50, 3 Au 3.50
Au: 0.0000 0.0000 0.5000 [1 per cell]  12 Pb 3.35-3.50

Stability check: which of them is least stable? entry d.

Entry a
Here is Pb5Au after structural relaxation from Alexandria via LeMat-Bulk. Energies are from PBE.

* calculated volume: 355.6 Å³/cell

Cell lengths 5.7712, 3.4206, 18.0122 Å; angles 90.00, 90.00, 90.00 degrees
Closest atoms and distances in Å follow each position.
Space group Amm2 (No. 38)
One atom of each set of equivalent atoms:
Pb: 0.0000 0.0000 0.0000 [2 per cell]  2 Au 3.07, 6 Pb 3.39-3.42
Pb: 0.0000 0.0000 0.2826 [2 per cell]  2 Au 3.07, 6 Pb 3.39-3.42
Pb: 0.5000 0.0000 0.1416 [2 per cell]  4 Au 3.35, 6 Pb 3.42-3.48
Pb: 0.5000 0.0000 0.4737 [2 per cell]  10 Pb 3.39-3.48
Pb: 0.5000 0.0000 0.8096 [2 per cell]  10 Pb 3.39-3.48
Au: 0.0000 0.0000 0.6413 [2 per cell]  8 Pb 3.07-3.35, 2 Au 3.42

Entry b
Here is Pb5Au after structural relaxation from Alexandria via LeMat-Bulk. Energies are from PBE.

* calculated volume: 756.8 Å³/cell

Cell lengths 9.1131, 9.1131, 9.1131 Å; angles 90.00, 90.00, 90.00 degrees
Closest atoms and distances in Å follow each position.
Space group F-43m (No. 216)
One atom of each set of equivalent atoms:
Pb: 0.0000 0.0000 0.0000 [4 per cell]  12 Pb 3.78, 4 Au 3.95
Pb: 0.1249 0.1249 0.6249 [16 per cell]  6 Pb 3.22
Au: 0.2500 0.2500 0.2500 [4 per cell]  16 Pb 3.78-3.95

Stability check: which of them is least stable? entry b.

Entry a
Here is PbAu6 after structural relaxation from Alexandria via LeMat-Bulk. Energies are from PBE.

* calculated volume: 413.4 Å³/cell

Cell lengths 7.4492, 7.4492, 7.4492 Å; angles 90.00, 90.00, 90.00 degrees
Closest atoms and distances in Å follow each position.
Space group Im-3m (No. 229)
One atom of each set of equivalent atoms:
Pb: 0.0000 0.0000 0.0000 [2 per cell]  24 Au 4.16
Au: 0.0000 0.2500 0.5000 [12 per cell]  4 Au 2.63

Entry b
Here is PbAu6 after structural relaxation from Alexandria via LeMat-Bulk. Energies are from PBE.

* calculated volume: 580.6 Å³/cell

Cell lengths 9.3642, 5.6734, 10.9284 Å; angles 90.00, 90.00, 90.00 degrees
Closest atoms and distances in Å follow each position.
Space group Pnma (No. 62)
One atom of each set of equivalent atoms:
Pb: 0.2212 0.2500 0.0629 [4 per cell]  9 Au 3.05-3.41
Au: 0.0508 0.0044 0.3070 [8 per cell]  9 Au 2.79-2.98
Au: 0.0658 0.7500 0.0719 [4 per cell]  5 Au 2.83-2.95, 1 Pb 3.06
Au: 0.1282 0.2500 0.5244 [4 per cell]  7 Au 2.85-2.91
Au: 0.1694 0.7500 0.8282 [4 per cell]  8 Au 2.83-2.98, 1 Pb 3.08
Au: 0.1903 0.2500 0.7850 [4 per cell]  8 Au 2.83-2.91, 1 Pb 3.05

Stability check: which of them is least stable? entry a.

Entry a
Here is Pb5Au4 after structural relaxation from Alexandria via LeMat-Bulk. Energies are from PBE.

* calculated volume: 457.9 Å³/cell

Cell lengths 9.1519, 9.1519, 6.3128 Å; angles 90.00, 90.00, 120.00 degrees
Closest atoms and distances in Å follow each position.
Space group P6_3/mcm (No. 193)
One atom of each set of equivalent atoms:
Pb: 0.0000 0.2803 0.2500 [6 per cell]  7 Au 3.01-3.28
Pb: 0.3333 0.6667 0.0000 [4 per cell]  2 Pb 3.16, 6 Au 3.27
Au: 0.0000 0.0000 0.0000 [2 per cell]  6 Pb 3.01, 2 Au 3.16
Au: 0.0000 0.3795 0.7500 [6 per cell]  9 Pb 3.11-3.28

Entry b
Here is Pb5Au4 after structural relaxation from Alexandria via LeMat-Bulk. Energies are from PBE.

* calculated volume: 453.5 Å³/cell

Cell lengths 9.2893, 9.2893, 5.2560 Å; angles 90.00, 90.00, 90.00 degrees
Closest atoms and distances in Å follow each position.
Space group I4/mmm (No. 139)
One atom of each set of equivalent atoms:
Pb: 0.0000 0.0000 0.0000 [2 per cell]  4 Au 3.21, 8 Pb 3.51
Pb: 0.1776 0.1776 0.5000 [8 per cell]  2 Au 3.00, 4 Pb 3.24-3.30
Au: 0.0000 0.3461 0.0000 [8 per cell]  1 Au 2.86, 2 Pb 3.00

Stability check: which of them is least stable? entry b.

Entry a
Here is Pd8Pb2Au3 after structural relaxation from Alexandria via LeMat-Bulk. Energies are from PBE.

* calculated volume: 234.4 Å³/cell

Cell lengths 4.9114, 6.4368, 7.6896 Å; angles 83.55, 76.91, 83.71 degrees
Closest atoms and distances in Å follow each position.
Space group P-1 (No. 2)
One atom of each set of equivalent atoms:
Pd: 0.0673 0.3547 0.3529 [2 per cell]  2 Pb 2.77-2.79, 5 Pd 2.78-3.01, 3 Au 2.81-2.85
Pd: 0.2118 0.0669 0.0745 [2 per cell]  6 Pd 2.84-2.90, 4 Au 2.85-2.97, 2 Pb 2.96-3.06
Pd: 0.2849 0.9243 0.4279 [2 per cell]  6 Pd 2.78-2.92, 3 Pb 2.79-2.92, 2 Au 2.82-2.89
Pd: 0.4279 0.6434 0.1424 [2 per cell]  5 Pd 2.82-2.94, 2 Pb 2.84-2.94, 4 Au 2.84-2.87
Pb: 0.1608 0.2322 0.6936 [2 per cell]  9 Pd 2.77-3.06, 2 Au 2.99-3.03
Au: 0.0000 0.5000 0.0000 [1 per cell]  2 Au 2.82, 8 Pd 2.85-2.91, 2 Pb 2.99
Au: 0.3679 0.7803 0.7836 [2 per cell]  9 Pd 2.81-2.97, 1 Au 2.82, 1 Pb 3.03

Entry b
Here is Pd8Pb2Au3 after structural relaxation from Alexandria via LeMat-Bulk. Energies are from PBE.

* calculated volume: 474.4 Å³/cell

Cell lengths 13.1043, 7.5584, 4.8555 Å; angles 90.00, 99.47, 90.00 degrees
Closest atoms and distances in Å follow each position.
Space group C2/m (No. 12)
One atom of each set of equivalent atoms:
Pd: 0.0607 0.0000 0.2742 [4 per cell]  3 Pb 2.71-2.79, 4 Pd 2.75-2.91, 2 Au 2.77
Pd: 0.1776 0.2963 0.2175 [8 per cell]  2 Pb 2.70-2.96, 4 Pd 2.75-2.93, 2 Au 2.85-2.89
Pd: 0.1849 0.5000 0.7073 [4 per cell]  6 Pd 2.82-2.93, 3 Au 2.85-3.00, 1 Pb 2.86
Pb: 0.1552 0.0000 0.8143 [4 per cell]  8 Pd 2.70-2.96
Au: 0.0000 0.3112 0.5000 [4 per cell]  6 Pd 2.77-2.89, 3 Au 2.82-2.85
Au: 0.0000 0.5000 0.0000 [2 per cell]  4 Au 2.82, 6 Pd 2.85-3.00

Stability check: which of them is least stable? entry b.